# 1
Co3SiHg (PBE, relaxed); excess energy over the best structure of this formula in the dataset = 1.3094 eV per atom; space-group type = Pm-3m; formation energy (no corrections) = 1834.8 meV/atom
1.0
-0.0219 3.3679 3.3085
0.3593 -3.2978 3.3594
4.7074 0.2673 -0.2410
Co Hg Si
3 1 1
direct
0.5000 0.0000 0.0000 Co
0.0000 0.5000 0.0000 Co
0.0000 0.0000 0.5000 Co
0.0000 0.0000 0.0000 Hg
0.5000 0.5000 0.5000 Si

# 2
KSbSI2 (PBE, relaxed); excess energy over the best structure of this formula in the dataset = 0.4395 eV per atom; space-group type = P4/mmm; formation energy (no corrections) = -133.1 meV/atom
1.0
5.9918 0.0000 0.0000
0.0000 5.9918 0.0000
0.0000 0.0000 5.3347
I S K Sb
2 1 1 1
direct
0.5000 0.0000 0.0000 I
0.0000 0.5000 0.0000 I
0.0000 0.0000 0.0000 S
0.5000 0.5000 0.5000 K
0.0000 0.0000 0.5000 Sb

# 3
CaTbHo4Se8 (PBE, relaxed); space-group type = R3m; formation energy (no corrections) = -1794.2 meV/atom
1.0
-4.6546 -5.6958 -4.1136
3.6395 -6.8892 -3.2127
-1.4647 -7.5518 3.4802
Se Ho Tb Ca
8 4 1 1
direct
0.7564 0.7564 0.2598 Se
0.7564 0.2273 0.2598 Se
0.2273 0.7564 0.2598 Se
0.2415 0.7796 0.7374 Se
0.2396 0.2396 0.2811 Se
0.7579 0.7579 0.7264 Se
0.2415 0.2415 0.7374 Se
0.7796 0.2415 0.7374 Se
0.4937 0.0020 0.5022 Ho
0.6251 0.6251 0.1246 Ho
0.0020 0.4937 0.5022 Ho
0.0020 0.0020 0.5022 Ho
0.0022 0.0022 0.9934 Tb
0.3745 0.3745 0.8764 Ca

| no. | Fermi-level density of states (states/eV/atom) | spin magnetization (μB per atom) |
| --- | --- | --- |
| 1 | 2.4361 | 1.0061 |
| 2 | 0.4292 | 0.3696 |
| 3 | 0.2447 | 0.0000 |